(1)
The following is a DFT calculation (SCAN) of a crystal of Cs2WO4 relaxed with PBEsol.

SG ... No. 12
Uncorrected formation energy ... -2.348 eV per atom
Uncorrected energy ... -373.35 eV per cell

Cell and atoms, written as POSCAR:
```
Cs2WO4
1.0
-1.647 -6.112 -1.344
2.173 1.305 6.983
-7.710 2.413 -1.524
O Cs W
8 4 2
Direct
0.094 0.188 0.349 O
0.906 0.812 0.651 O
0.321 0.641 0.366 O
0.679 0.359 0.634 O
0.632 0.717 0.918 O
0.914 0.283 0.082 O
0.368 0.283 0.082 O
0.086 0.717 0.918 O
0.157 0.314 0.745 Cs
0.486 0.972 0.759 Cs
0.514 0.028 0.241 Cs
0.843 0.686 0.255 Cs
0.827 0.653 0.779 W
0.173 0.347 0.221 W
```

(2)
The following is a DFT calculation (SCAN) of a crystal of Cs2ZrW3O12 relaxed with PBEsol.

SG ... No. 5
Uncorrected formation energy ... -2.598 eV per atom
Uncorrected energy ... -436.92 eV per cell

Cell and atoms, written as POSCAR:
```
Cs2ZrW3O12
1.0
7.411 0.000 0.000
-3.706 6.404 -0.005
0.000 -4.267 6.057
O W Cs Zr
12 3 2 1
Direct
0.555 0.750 0.440 O
0.807 0.617 0.556 O
0.804 0.250 0.560 O
0.446 0.264 0.202 O
0.182 0.736 0.798 O
0.433 0.244 0.551 O
0.190 0.383 0.444 O
0.446 0.872 0.202 O
0.574 0.128 0.798 O
0.188 0.756 0.449 O
0.573 0.733 0.798 O
0.840 0.267 0.202 O
0.481 0.506 0.488 W
0.473 0.000 0.500 W
0.975 0.494 0.512 W
0.852 0.742 0.119 Cs
0.110 0.258 0.881 Cs
0.512 0.000 0.000 Zr
```

(3)
The following is a DFT calculation (SCAN) of a crystal of CsY3O5 relaxed with PBEsol.

SG ... No. 62
Uncorrected formation energy ... -3.480 eV per atom
Uncorrected energy ... -735.26 eV per cell

Cell and atoms, written as POSCAR:
```
CsY3O5
1.0
3.462 0.000 0.000
0.000 10.361 0.000
0.000 0.000 17.292
O Y Cs
20 12 4
Direct
0.750 0.320 0.284 O
0.250 0.079 0.228 O
0.250 0.781 0.053 O
0.250 0.975 0.920 O
0.750 0.025 0.080 O
0.250 0.776 0.388 O
0.250 0.281 0.447 O
0.750 0.724 0.888 O
0.250 0.680 0.716 O
0.750 0.820 0.216 O
0.250 0.180 0.784 O
0.750 0.719 0.553 O
0.750 0.525 0.420 O
0.750 0.921 0.772 O
0.250 0.475 0.580 O
0.750 0.219 0.947 O
0.750 0.421 0.728 O
0.250 0.579 0.272 O
0.750 0.224 0.612 O
0.250 0.276 0.112 O
0.750 0.598 0.661 Y
0.250 0.651 0.488 Y
0.750 0.849 0.988 Y
0.750 0.195 0.183 Y
0.750 0.349 0.512 Y
0.250 0.805 0.817 Y
0.250 0.402 0.339 Y
0.750 0.695 0.317 Y
0.250 0.902 0.161 Y
0.750 0.098 0.839 Y
0.250 0.151 0.012 Y
0.250 0.305 0.683 Y
0.750 0.038 0.372 Cs
0.250 0.962 0.628 Cs
0.750 0.538 0.128 Cs
0.250 0.462 0.872 Cs
```

(4)
The following is a DFT calculation (SCAN) of a crystal of Cs5YO4 relaxed with PBEsol.

SG ... No. 14
Uncorrected formation energy ... -1.852 eV per atom
Uncorrected energy ... -1041.34 eV per cell

Cell and atoms, written as POSCAR:
```
Cs5YO4
1.0
-5.103 2.577 4.664
-6.728 -3.890 -8.614
-0.625 -11.616 5.734
O Cs Y
16 20 4
Direct
0.827 0.265 0.956 O
0.731 0.602 0.129 O
0.769 0.398 0.629 O
0.691 0.256 0.378 O
0.231 0.602 0.371 O
0.858 0.903 0.109 O
0.327 0.265 0.544 O
0.809 0.744 0.878 O
0.358 0.903 0.391 O
0.173 0.735 0.044 O
0.673 0.735 0.456 O
0.191 0.256 0.122 O
0.269 0.398 0.871 O
0.642 0.097 0.609 O
0.309 0.744 0.622 O
0.142 0.097 0.891 O
0.241 0.000 0.076 Cs
0.668 0.846 0.678 Cs
0.492 0.783 0.196 Cs
0.903 0.492 0.835 Cs
0.008 0.217 0.696 Cs
0.759 0.000 0.924 Cs
0.992 0.783 0.304 Cs
0.832 0.154 0.178 Cs
0.332 0.154 0.322 Cs
0.428 0.627 0.933 Cs
0.259 0.000 0.576 Cs
0.928 0.627 0.567 Cs
0.072 0.373 0.433 Cs
0.403 0.492 0.665 Cs
0.741 0.000 0.424 Cs
0.168 0.846 0.822 Cs
0.572 0.373 0.067 Cs
0.508 0.217 0.804 Cs
0.097 0.508 0.165 Cs
0.597 0.508 0.335 Cs
0.113 0.260 0.961 Y
0.613 0.260 0.539 Y
0.887 0.740 0.039 Y
0.387 0.740 0.461 Y
```

(5)
The following is a DFT calculation (SCAN) of a crystal of Cs5YO4 relaxed with PBEsol.

SG ... No. 59
Uncorrected formation energy ... -1.831 eV per atom
Uncorrected energy ... -520.25 eV per cell

Cell and atoms, written as POSCAR:
```
Cs5YO4
1.0
-1.597 1.884 6.406
6.131 -4.938 2.981
6.217 7.351 -0.611
O Cs Y
8 10 2
Direct
0.620 0.218 0.000 O
0.380 0.718 0.500 O
0.620 0.782 0.000 O
0.047 0.500 0.311 O
0.953 0.000 0.811 O
0.047 0.500 0.689 O
0.953 0.000 0.189 O
0.380 0.282 0.500 O
0.258 0.763 0.812 Cs
0.258 0.763 0.188 Cs
0.258 0.237 0.812 Cs
0.742 0.737 0.312 Cs
0.839 0.500 0.000 Cs
0.742 0.263 0.312 Cs
0.258 0.237 0.188 Cs
0.161 0.000 0.500 Cs
0.742 0.263 0.688 Cs
0.742 0.737 0.688 Cs
0.216 0.500 0.500 Y
0.784 0.000 0.000 Y
```

(6)
The following is a DFT calculation (SCAN) of a crystal of Cs3ZnO relaxed with PBEsol.

SG ... No. 221
Uncorrected formation energy ... -0.472 eV per atom
Uncorrected energy ... -135.54 eV per cell

Cell and atoms, written as POSCAR:
```
Cs3ZnO
1.0
-0.649 -4.474 -3.679
5.791 -0.557 -0.344
-0.088 -3.694 4.508
Cs O Zn
3 1 1
Direct
0.500 0.000 0.000 Cs
0.000 0.500 0.000 Cs
0.000 0.000 0.500 Cs
0.000 0.000 0.000 O
0.500 0.500 0.500 Zn
```

(7)
The following is a DFT calculation (SCAN) of a crystal of CsZn3O relaxed with PBEsol.

SG ... No. 221
Uncorrected formation energy ... 1.234 eV per atom
Uncorrected energy ... -78.42 eV per cell

Cell and atoms, written as POSCAR:
```
CsZn3O
1.0
-5.282 -4.548 1.094
2.370 -4.024 -5.289
4.033 -3.592 4.540
O Zn Cs
1 3 1
Direct
0.500 0.500 0.500 O
0.000 0.000 0.500 Zn
0.000 0.500 0.000 Zn
0.500 0.000 0.000 Zn
0.000 0.000 0.000 Cs
```

(8)
The following is a DFT calculation (SCAN) of a crystal of CsP3Os relaxed with PBEsol.

SG ... No. 221
Calculated formation energy ... 17.0 eV/f.u.
Uncorrected energy ... -123.89 eV per cell

Cell and atoms, written as POSCAR:
```
CsP3Os
1.0
5.080 0.000 0.000
0.000 5.080 0.000
0.000 0.000 5.080
P Cs Os
3 1 1
Direct
0.500 0.000 0.000 P
0.000 0.500 0.000 P
0.000 0.000 0.500 P
0.000 0.000 0.000 Cs
0.500 0.500 0.500 Os
```

(9)
The following is a DFT calculation (SCAN) of a crystal of CsOs2Pb relaxed with PBEsol.

SG ... No. 225
Calculated formation energy ... 9.4 eV/f.u.
Uncorrected energy ... -247.97 eV per cell

Cell and atoms, written as POSCAR:
```
CsOs2Pb
1.0
-1.679 -1.922 4.113
3.092 -1.540 3.391
0.435 2.432 4.163
Cs Os Pb
1 2 1
Direct
0.000 0.000 0.000 Cs
0.750 0.750 0.750 Os
0.250 0.250 0.250 Os
0.500 0.500 0.500 Pb
```

(10)
The following is a DFT calculation (SCAN) of a crystal of CsOs3Pd relaxed with PBEsol.

SG ... No. 221
Calculated formation energy ... 21.3 eV/f.u.
Uncorrected energy ... -264.97 eV per cell

Cell and atoms, written as POSCAR:
```
CsOs3Pd
1.0
-2.084 1.193 -4.174
-3.717 -2.882 1.032
-2.243 3.668 2.169
Os Cs Pd
3 1 1
Direct
0.000 0.500 0.000 Os
0.500 0.000 0.000 Os
0.000 0.000 0.500 Os
0.000 0.000 0.000 Cs
0.500 0.500 0.500 Pd
```

(11)
The following is a DFT calculation (SCAN) of a crystal of CsOsPd3 relaxed with PBEsol.

SG ... No. 221
Calculated formation energy ... 4.6 eV/f.u.
Uncorrected energy ... -203.41 eV per cell

Cell and atoms, written as POSCAR:
```
CsOsPd3
1.0
4.900 0.000 0.000
0.000 4.900 0.000
0.000 0.000 4.900
Cs Pd Os
1 3 1
Direct
0.500 0.500 0.500 Cs
0.000 0.500 0.000 Pd
0.000 0.000 0.500 Pd
0.500 0.000 0.000 Pd
0.000 0.000 0.000 Os
```

(12)
The following is a DFT calculation (SCAN) of a crystal of CsOsRuPt2 relaxed with PBEsol.

SG ... No. 123
Calculated formation energy ... 17.1 eV/f.u.
Uncorrected energy ... -267.77 eV per cell

Cell and atoms, written as POSCAR:
```
CsOsRuPt2
1.0
4.733 0.000 0.000
0.000 4.911 0.000
0.000 0.000 4.911
Pt Os Cs Ru
2 1 1 1
Direct
0.000 0.000 0.500 Pt
0.000 0.500 0.000 Pt
0.500 0.500 0.500 Os
0.000 0.000 0.000 Cs
0.500 0.000 0.000 Ru
```